The following is a PBE+U calculation of an optimized crystal structure of LiMoP2O7, from Alexandria via LeMat-Bulk.

Values from the calculation:
- Total DFT energy (no corrections): -314.08 eV per cell
- N(E_F): 0.0 states/eV per cell
- Total moment: 12.0 Bohr magnetons per cell

Unit cell a=7.1453 b=8.6550 c=10.0191 alpha=90.00 beta=111.09 gamma=90.00
Space group P2_1/c (No. 14)
Unique sites:
Li 0.1739 0.1415 0.2527 x4
Mo 0.2244 0.0010 0.7480 x4
P 0.2079 0.6799 0.9371 x4
P 0.3874 0.2152 0.0579 x4
O 0.0992 0.5428 0.8426 x4
O 0.1233 0.6643 0.3673 x4
O 0.2154 0.6691 0.0899 x4
O 0.2598 0.1879 0.9002 x4
O 0.2661 0.1974 0.6316 x4
O 0.4343 0.6666 0.9369 x4
O 0.4719 0.0662 0.1387 x4